#A
Material: Tc3AsW
Method: DFT, GGA-PBE
State: optimized geometry

It has space group Pm-3m (No. 221), with a = 4.4451 Å, b = 4.4451 Å, c = 4.4451 Å, α = 90.00°, β = 90.00° and γ = 90.00°. The distinct sites, in fractional coordinates, are Tc at (0.0000, 0.0000, 0.5000), As at (0.0000, 0.0000, 0.0000) and W at (0.5000, 0.5000, 0.5000).

As for the crystal system: cubic.

***

#B
Material: Tc3AsW
Method: DFT, GGA-PBE
State: optimized geometry

It has space group Pm-3m (No. 221), with a = 4.7195 Å, b = 4.7195 Å, c = 4.7195 Å, α = 90.00°, β = 90.00° and γ = 90.00°. The distinct sites, in fractional coordinates, are Tc at (0.0000, 0.0000, 0.5000), As at (0.5000, 0.5000, 0.5000) and W at (0.0000, 0.0000, 0.0000).

As for the crystal system: cubic.

***

Decreasing stability: #A, #B

***

#A
Material: YTc3As
Method: DFT, GGA-PBE
State: optimized geometry

It has space group Pm-3m (No. 221), with a = 4.8400 Å, b = 4.8400 Å, c = 4.8400 Å, α = 90.00°, β = 90.00° and γ = 90.00°. The distinct sites, in fractional coordinates, are Y at (0.0000, 0.0000, 0.0000), Tc at (0.0000, 0.0000, 0.5000) and As at (0.5000, 0.5000, 0.5000).

As for the crystal system: cubic.

***

#B
Material: YTc3As
Method: DFT, GGA-PBE
State: optimized geometry

It has space group Pm-3m (No. 221), with a = 4.6203 Å, b = 4.6203 Å, c = 4.6203 Å, α = 90.00°, β = 90.00° and γ = 90.00°. The distinct sites, in fractional coordinates, are Y at (0.0000, 0.0000, 0.0000), Tc at (0.0000, 0.5000, 0.5000) and As at (0.5000, 0.5000, 0.5000).

As for the crystal system: cubic.

***

Decreasing stability: #B, #A